1.
Density functional theory data (PBE) for an optimized crystal structure of Sb2TePSe.

a b c (Å): 5.238 5.238 5.192
angles (deg): 90.00 90.00 90.00
Positions (direct):
1 Sb 0.500 0.000 0.000
2 Sb 0.000 0.500 0.000
3 Se 0.500 0.500 0.500
4 Te 0.000 0.000 0.500
5 P 0.000 0.000 0.000

Properties
uncorrected energy = -17.00 eV per formula unit
symmetry = P4/mmm

2.
Density functional theory data (PBE) for an optimized crystal structure of SbTe2PSe.

a b c (Å): 5.212 5.212 5.255
angles (deg): 90.00 90.00 90.00
Positions (direct):
1 P 0.000 0.000 0.000
2 Te 0.000 0.500 0.000
3 Te 0.500 0.000 0.000
4 Sb 0.000 0.000 0.500
5 Se 0.500 0.500 0.500

Properties
uncorrected energy = -16.07 eV per formula unit
symmetry = P4/mmm

3.
Density functional theory data (PBE) for an optimized crystal structure of Th6SbP3Se2.

a b c (Å): 4.201 8.528 9.515
angles (deg): 104.60 102.75 90.00
Positions (direct):
1 P 0.500 0.500 0.000
2 P 0.165 0.830 0.329
3 P 0.835 0.170 0.671
4 Th 0.004 0.729 0.008
5 Th 0.339 0.406 0.677
6 Th 0.996 0.271 0.992
7 Th 0.325 0.929 0.650
8 Th 0.675 0.071 0.350
9 Th 0.661 0.594 0.323
10 Se 0.168 0.334 0.336
11 Se 0.832 0.666 0.664
12 Sb 0.500 0.000 0.000

Properties
uncorrected energy = -89.41 eV per formula unit
symmetry = C2/m

4.
Density functional theory data (PBE) for an optimized crystal structure of Th6Sb2P3Se.

a b c (Å): 4.241 8.643 9.625
angles (deg): 104.63 102.73 90.00
Positions (direct):
1 P 0.500 0.500 0.000
2 P 0.832 0.163 0.664
3 P 0.168 0.837 0.336
4 Sb 0.834 0.666 0.669
5 Sb 0.166 0.334 0.331
6 Th 0.328 0.936 0.657
7 Th 0.672 0.064 0.343
8 Th 0.008 0.737 0.017
9 Th 0.992 0.263 0.983
10 Th 0.341 0.395 0.682
11 Th 0.659 0.605 0.318
12 Se 0.500 0.000 0.000

Properties
uncorrected energy = -88.63 eV per formula unit
symmetry = C2/m

| no. | size of the total moment (μB per formula unit) |
| --- | --- |
| 1 | 0.000 |
| 2 | 0.000 |
| 3 | 0.000 |
| 4 | 0.000 |